Entry from OQMD: a relaxed NaHfCuSe2S crystal (PBE).

Results
Volume: 249.8 Å³ per cell
Space-group type: Cmcm, No. 63
Total energy: -0.400 Ry per atom

abc: 7.058 7.058 9.783
angles: 90.00 90.00 149.16
Fractional coordinates of all 12 atoms:
Cu: 0.969 0.031 0.250
Cu: 0.031 0.969 0.750
Hf: 0.500 0.500 0.000
Hf: 0.500 0.500 0.500
Na: 0.242 0.758 0.250
Na: 0.758 0.242 0.750
S: 0.569 0.431 0.250
S: 0.431 0.569 0.750
Se: 0.863 0.137 0.052
Se: 0.863 0.137 0.448
Se: 0.137 0.863 0.552
Se: 0.137 0.863 0.948